A relaxed structure of BaVZn, computed with PBE.

a b c (Å): 4.896 4.896 7.124
angles (deg): 94.74 94.74 78.37
Atoms (fractional coordinates):
1 Ba 0.240 0.240 0.347
2 Ba 0.760 0.760 0.653
3 V 0.348 0.652 0.000
4 V 0.652 0.348 0.000
5 Zn 0.183 0.183 0.866
6 Zn 0.817 0.817 0.134

Space-group type: C2/m (12)
Final energy: -22.78 eV per cell
Polymorph energy (0 for the lowest one): 22 meV per atom

A relaxed structure of CsHgI2, computed with PBE.

a b c (Å): 9.179 15.348 5.780
angles (deg): 90.00 90.00 90.00
Atoms (fractional coordinates):
1 Cs 0.224 0.166 0.000
2 Cs 0.276 0.666 0.500
3 Cs 0.724 0.334 0.000
4 Cs 0.776 0.834 0.500
5 Hg 0.197 0.902 0.001
6 Hg 0.303 0.402 0.501
7 Hg 0.697 0.598 0.001
8 Hg 0.803 0.098 0.501
9 I 0.003 0.722 0.001
10 I 0.196 0.934 0.501
11 I 0.304 0.434 0.001
12 I 0.497 0.222 0.501
13 I 0.503 0.778 0.001
14 I 0.696 0.566 0.501
15 I 0.804 0.066 0.001
16 I 0.997 0.278 0.501

Space-group type: Pna2_1 (33)
Final energy: -30.62 eV per cell
Uncorrected formation energy: -82.0 kJ per mole of atoms
Polymorph energy (0 for the lowest one): 0 meV per atom

- Among the records above, which one has the highest polymorph energy (0 for the lowest one)?
  BaVZn

- Which of these has the highest polymorph energy (0 for the lowest one)?
  BaVZn

- Which formula does entry 1 have?
  BaVZn